DFT (PBE) results for crystalline CoBOsPd at its relaxed geometry.

Cell and atoms, written as POSCAR:
```
CoBOsPd
1.0
0.000 2.885 2.885
2.885 0.000 2.885
2.885 2.885 0.000
Co B Os Pd
1 1 1 1
Cartesian
0.000 0.000 0.000
4.327 4.327 4.327
2.885 2.885 2.885
1.442 1.442 1.442
```

Values from the calculation:
symmetry	No. 216
crystal system	cubic
E above lowest polymorph	0	meV/atom

DFT (PBE) results for crystalline CoReBOs at its relaxed geometry.

Cell and atoms, written as POSCAR:
```
CoReBOs
1.0
0.000 2.902 2.902
2.902 0.000 2.902
2.902 2.902 0.000
Co Re B Os
1 1 1 1
Cartesian
0.000 0.000 0.000
1.451 1.451 1.451
4.354 4.354 4.354
2.902 2.902 2.902
```

Values from the calculation:
symmetry	No. 216
crystal system	cubic
E above lowest polymorph	0	meV/atom

DFT (PBE) results for crystalline ScCoBOs at its relaxed geometry.

Cell and atoms, written as POSCAR:
```
ScCoBOs
1.0
0.000 2.977 2.977
2.977 0.000 2.977
2.977 2.977 0.000
Sc Co B Os
1 1 1 1
Cartesian
0.000 0.000 0.000
2.977 2.977 2.977
1.488 1.488 1.488
4.465 4.465 4.465
```

Values from the calculation:
symmetry	No. 216
crystal system	cubic
E above lowest polymorph	245	meV/atom

DFT (PBE) results for crystalline ScCoBOs at its relaxed geometry.

Cell and atoms, written as POSCAR:
```
ScCoBOs
1.0
0.000 2.911 2.911
2.911 0.000 2.911
2.911 2.911 0.000
Sc Co B Os
1 1 1 1
Cartesian
0.000 0.000 0.000
4.366 4.366 4.366
2.911 2.911 2.911
1.455 1.455 1.455
```

Values from the calculation:
symmetry	No. 216
crystal system	cubic
E above lowest polymorph	0	meV/atom

DFT (PBE) results for crystalline CoTcBOs at its relaxed geometry.

Cell and atoms, written as POSCAR:
```
CoTcBOs
1.0
0.000 2.891 2.891
2.891 0.000 2.891
2.891 2.891 0.000
Co Tc B Os
1 1 1 1
Cartesian
0.000 0.000 0.000
1.445 1.445 1.445
4.336 4.336 4.336
2.891 2.891 2.891
```

Values from the calculation:
symmetry	No. 216
crystal system	cubic
E above lowest polymorph	0	meV/atom

DFT (PBE) results for crystalline CoBOsW at its relaxed geometry.

Cell and atoms, written as POSCAR:
```
CoBOsW
1.0
0.000 2.923 2.923
2.923 0.000 2.923
2.923 2.923 0.000
Co B Os W
1 1 1 1
Cartesian
0.000 0.000 0.000
4.384 4.384 4.384
2.923 2.923 2.923
1.461 1.461 1.461
```

Values from the calculation:
symmetry	No. 216
crystal system	cubic
E above lowest polymorph	0	meV/atom

DFT (PBE) results for crystalline ZnCoBOs at its relaxed geometry.

Cell and atoms, written as POSCAR:
```
ZnCoBOs
1.0
0.000 2.808 2.808
2.808 0.000 2.808
2.808 2.808 0.000
Zn Co B Os
1 1 1 1
Cartesian
0.000 0.000 0.000
4.212 4.212 4.212
2.808 2.808 2.808
1.404 1.404 1.404
```

Values from the calculation:
symmetry	No. 216
crystal system	cubic
E above lowest polymorph	0	meV/atom

DFT (PBE) results for crystalline ZnCoBOs at its relaxed geometry.

Cell and atoms, written as POSCAR:
```
ZnCoBOs
1.0
0.000 2.857 2.857
2.857 0.000 2.857
2.857 2.857 0.000
Zn Co B Os
1 1 1 1
Cartesian
0.000 0.000 0.000
2.857 2.857 2.857
1.429 1.429 1.429
4.286 4.286 4.286
```

Values from the calculation:
symmetry	No. 216
crystal system	cubic
E above lowest polymorph	452	meV/atom

DFT (PBE) results for crystalline ZrCoBOs at its relaxed geometry.

Cell and atoms, written as POSCAR:
```
ZrCoBOs
1.0
0.000 2.979 2.979
2.979 0.000 2.979
2.979 2.979 0.000
Zr Co B Os
1 1 1 1
Cartesian
0.000 0.000 0.000
4.469 4.469 4.469
2.979 2.979 2.979
1.490 1.490 1.490
```

Values from the calculation:
symmetry	No. 216
crystal system	cubic
E above lowest polymorph	0	meV/atom

DFT (PBE) results for crystalline ZrCoBOs at its relaxed geometry.

Cell and atoms, written as POSCAR:
```
ZrCoBOs
1.0
0.000 3.035 3.035
3.035 0.000 3.035
3.035 3.035 0.000
Zr Co B Os
1 1 1 1
Cartesian
0.000 0.000 0.000
3.035 3.035 3.035
1.518 1.518 1.518
4.553 4.553 4.553
```

Values from the calculation:
symmetry	No. 216
crystal system	cubic
E above lowest polymorph	296	meV/atom

DFT (PBE) results for crystalline Co4BP3 at its relaxed geometry.

Cell and atoms, written as POSCAR:
```
Co4BP3
1.0
4.923 0.000 0.000
0.000 3.139 0.000
-0.027 0.000 5.540
Co B P
4 1 3
Cartesian
0.000 0.000 0.000
0.001 1.570 2.154
2.482 1.570 2.770
2.485 0.000 5.021
3.442 1.570 0.693
0.960 1.570 4.334
1.653 0.000 1.475
4.012 0.000 3.436
```

Values from the calculation:
total energy	-6.881	eV/atom
symmetry	No. 6
crystal system	monoclinic

DFT (PBE) results for crystalline Co2BP at its relaxed geometry.

Cell and atoms, written as POSCAR:
```
Co2BP
1.0
2.791 0.000 0.000
0.000 4.868 0.000
0.000 0.000 5.683
Co B P
4 2 2
Cartesian
0.000 1.162 0.000
0.000 3.682 5.101
1.395 1.186 2.259
1.395 3.706 2.841
0.000 0.317 3.627
1.395 4.552 0.786
0.000 2.839 1.433
1.395 2.029 4.274
```

Values from the calculation:
symmetry	No. 31
crystal system	orthorhombic
E above lowest polymorph	0	meV/atom